A geometry-optimized FeW3O structure. Source: Alexandria via LeMat-Bulk, functional PBE+U.

Results
- Excess energy over the best structure of this formula in the dataset: 1.868 eV per atom
- Energy: -3.659 eV/atom
- SG: Pm-3m, No. 221

Lattice parameters (Å, degrees): 4.4886 4.4886 4.4886 90.00 90.00 90.00
Fractional coordinates of all 5 atoms:
Fe  0.0000  0.0000  0.0000
W  0.5000  0.0000  0.0000
W  0.0000  0.5000  0.0000
O  0.5000  0.5000  0.5000
W  0.0000  0.0000  0.5000